# 1
3
Lattice="0.000 3.261 3.261 3.261 0.000 3.261 3.261 3.261 0.000" Properties=species:S:1:pos:R:3 comment="NaTlIr, optimized geometry, DFT PBE" m_tot_mub_per_atom=0.001 spacegroup="No. 216" e_tot_ev_per_atom=-3.696 pbc="T T T"
Na 0.000 0.000 0.000
Tl 3.261 3.261 3.261
Ir 1.631 1.631 1.631

=====

# 2
2
Lattice="0.000 2.558 2.558 2.558 0.000 2.558 2.558 2.558 0.000" Properties=species:S:1:pos:R:3 comment="NbCu, optimized geometry, DFT PBE" m_tot_mub_per_atom=0.001 ef_mev_per_atom=745 spacegroup="No. 225" pbc="T T T"
Nb 0.000 0.000 0.000
Cu 2.558 2.558 2.558

=====

# 3
4
Lattice="0.000 3.587 3.587 3.587 0.000 3.587 3.587 3.587 0.000" Properties=species:S:1:pos:R:3 comment="LaTlCuAu, optimized geometry, DFT PBE" m_tot_mub_per_atom=0.000 de_polymorph_ev_per_fu=0.48 spacegroup="No. 216" pbc="T T T"
La 0.000 0.000 0.000
Tl 1.793 1.793 1.793
Cu 3.587 3.587 3.587
Au 5.380 5.380 5.380